1.
Below is crystalline Tb6CeS8 at its relaxed geometry, with properties calculated at the PBE-GGA level.

The calculated total energy is -97.13 eV/f.u. As for the total magnetic moment: 5.831 Bohr magnetons per cell.

The structure belongs to space group Fm-3m (No. 225); the cell edges are 11.114, 11.114 and 11.114 Å and the angles 90.00°, 90.00° and 90.00°. The distinct sites, in fractional coordinates, are Tb at (0.000, 0.250, 0.250), Ce at (0.000, 0.000, 0.000), S at (0.000, 0.000, 0.255) and S at (0.250, 0.250, 0.250).

2.
Below is crystalline Tb3CeS4 at its relaxed geometry, with properties calculated at the PBE-GGA level.

The calculated total energy is -52.52 eV/f.u. As for the total magnetic moment: 1.382 Bohr magnetons per cell.

The structure belongs to space group Cmmm (No. 65); the cell edges are 7.931, 11.177 and 3.935 Å and the angles 90.00°, 90.00° and 90.00°. The distinct sites, in fractional coordinates, are Tb at (0.000, 0.000, 0.000), Tb at (0.250, 0.250, 0.500), Ce at (0.000, 0.500, 0.000), S at (0.000, 0.247, 0.000) and S at (0.244, 0.000, 0.500).

3.
Below is crystalline TbCe2S4 at its relaxed geometry, with properties calculated at the PBE-GGA level.

The calculated total energy is -46.74 eV/f.u. As for the total magnetic moment: 9.289 Bohr magnetons per cell.

The structure belongs to space group Cmcm (No. 63); the cell edges are 3.865, 13.425 and 13.344 Å and the angles 90.00°, 90.00° and 90.00°. The distinct sites, in fractional coordinates, are Tb at (0.000, 0.125, 0.250), Ce at (0.000, 0.368, 0.071), S at (0.000, 0.000, 0.000), S at (0.000, 0.279, 0.626) and S at (0.000, 0.477, 0.250).

4.
Below is crystalline TbCeS at its relaxed geometry, with properties calculated at the PBE-GGA level.

The calculated total energy is -18.14 eV/f.u. As for the total magnetic moment: 4.232 Bohr magnetons per cell.

The structure belongs to space group P4_2/m (No. 84); the cell edges are 9.290, 9.290 and 3.926 Å and the angles 90.00°, 90.00° and 90.00°. The distinct sites, in fractional coordinates, are Tb at (0.042, 0.245, 0.000), Ce at (0.250, 0.542, 0.500) and S at (0.244, 0.246, 0.500).

5.
Below is crystalline TbCeS at its relaxed geometry, with properties calculated at the PBE-GGA level.

The calculated total energy is -18.20 eV/f.u. As for the total magnetic moment: 1.041 Bohr magnetons per cell.

The structure belongs to space group P3m1 (No. 156); the cell edges are 3.8196, 3.8196 and 6.5274 Å and the angles 90.00°, 90.00° and 120.00°. The distinct sites, in fractional coordinates, are Tb at (0.0000, 0.0000, 0.0000), Ce at (0.3333, 0.6667, 0.5176) and S at (0.6667, 0.3333, 0.2488).

6.
Below is crystalline TbCeTe2S at its relaxed geometry, with properties calculated at the PBE-GGA level.

The calculated total energy is -28.56 eV/f.u. As for the total magnetic moment: 1.341 Bohr magnetons per cell.

The structure belongs to space group P4/nmm (No. 129, origin choice 2); the cell edges are 4.423, 4.423 and 15.455 Å and the angles 90.00°, 90.00° and 90.00°. The distinct sites, in fractional coordinates, are Tb at (0.250, 0.250, 0.105), Ce at (0.250, 0.250, 0.607), Te at (0.250, 0.250, 0.299), Te at (0.250, 0.250, 0.899) and S at (0.250, 0.750, 0.500).

7.
Below is crystalline TbCe4Th3S8 at its relaxed geometry, with properties calculated at the PBE-GGA level.

The calculated total energy is -115.16 eV/f.u. As for the total magnetic moment: 8.749 Bohr magnetons per cell.

The structure belongs to space group R-3m (No. 166, hexagonal axes); the cell edges are 8.0477, 8.0477 and 19.6475 Å and the angles 90.00°, 90.00° and 120.00°. The distinct sites, in fractional coordinates, are Tb at (0.0000, 0.0000, 0.0000), Ce at (0.0000, 0.0000, 0.5000), Ce at (0.0000, 0.5000, 0.5000), Th at (0.0000, 0.5000, 0.0000), S at (0.0000, 0.0000, 0.2490) and S at (0.0061, 0.5031, 0.7493).

8.
Below is crystalline Tb3CeTh4S8 at its relaxed geometry, with properties calculated at the PBE-GGA level.

The calculated total energy is -113.39 eV/f.u. As for the total magnetic moment: 1.653 Bohr magnetons per cell.

The structure belongs to space group R-3m (No. 166, hexagonal axes); the cell edges are 7.8846, 7.8846 and 20.0959 Å and the angles 90.00°, 90.00° and 120.00°. The distinct sites, in fractional coordinates, are Tb at (0.0000, 0.5000, 0.0000), Ce at (0.0000, 0.0000, 0.0000), Th at (0.0000, 0.0000, 0.5000), Th at (0.0000, 0.5000, 0.5000), S at (0.0000, 0.0000, 0.2546) and S at (0.0042, 0.5021, 0.2536).

Please write out number 5 again, unchanged.
Below is crystalline TbCeS at its relaxed geometry, with properties calculated at the PBE-GGA level.

The calculated total energy is -18.20 eV/f.u. As for the total magnetic moment: 1.041 Bohr magnetons per cell.

The structure belongs to space group P3m1 (No. 156); the cell edges are 3.8196, 3.8196 and 6.5274 Å and the angles 90.00°, 90.00° and 120.00°. The distinct sites, in fractional coordinates, are Tb at (0.0000, 0.0000, 0.0000), Ce at (0.3333, 0.6667, 0.5176) and S at (0.6667, 0.3333, 0.2488).

> Among the records above, which one has the highest calculated total energy?

number 4

> Look up the calculated total energy of the seventh one.

-115.16 eV/f.u.

> The lowest total magnetic moment belongs to which entry?

number 5